Entry from Alexandria via LeMat-Bulk: a geometry-optimized Nb2ZnW structure (PBE).

* total moment: 0.00 μB/f.u.
* energy relative to the elements: 673 meV/atom

Cell lengths 7.279, 7.279, 5.467 Å; angles 90.00, 90.00, 90.00 degrees
Fractional coordinates of all 16 atoms:
1 Nb 0.247 0.750 0.125
2 Nb 0.250 0.247 0.875
3 Nb 0.250 0.253 0.375
4 Nb 0.253 0.750 0.625
5 Nb 0.747 0.250 0.625
6 Nb 0.750 0.747 0.375
7 Nb 0.750 0.753 0.875
8 Nb 0.753 0.250 0.125
9 Zn 0.000 0.000 0.500
10 Zn 0.000 0.500 0.750
11 Zn 0.500 0.000 0.250
12 Zn 0.500 0.500 0.000
13 W 0.000 0.000 0.000
14 W 0.000 0.500 0.250
15 W 0.500 0.000 0.750
16 W 0.500 0.500 0.500